Computed, not measured: a geometry-optimized CsCuSeO4 structure at the GGA-PBE level of DFT.

Values from the calculation:
symmetry	I-4, No. 82
formation energy from raw total energies	-897	meV per atom
energy	-4.935	eV/atom

a = 5.8968 Å, b = 5.8968 Å, c = 5.8968 Å
α = 118.68°, β = 118.68°, γ = 92.31°
With the nearest neighbours (Å) after each atom.
Atoms (fractional coordinates):
1 Cs 0.0000 0.0000 0.0000  8 O 3.10-3.45
2 Cu 0.5000 0.5000 0.0000  4 O 2.02
3 Se 0.7500 0.2500 0.5000  4 O 1.72
4 O 0.0930 0.4399 0.7978  1 Se 1.72
5 O 0.5601 0.3579 0.6531  1 Se 1.72
6 O 0.6421 0.2952 0.2022  1 Se 1.72
7 O 0.7048 0.9070 0.3469  1 Se 1.72